Material: InBiRh
Method: DFT, PBE
State: optimized geometry

Cell: 3.2356 4.4109 5.0553 Å, 90.00 90.00 90.00°
With the nearest neighbours (Å) after each atom.
Atoms (fractional coordinates):
In 0.0000 0.0000 0.0000  4 Rh 2.74
Bi 0.0000 0.5000 0.5000  4 Rh 3.00, 2 Bi 3.24, 4 In 3.35
Rh 0.5000 0.5000 0.0000  4 In 2.74, 4 Bi 3.00

Results
ΔE_f = -74 meV per atom
space-group type = Pmmm, No. 47
DOS(E_F) = 0.714 states/eV per atom
volume = 72 Å³/cell
total magnetization = 0.0 Bohr magnetons per cell
energy = -4.731 eV/atom

***

Material: Y4Tm3Th
Method: DFT, PBE
State: optimized geometry

Cell: 8.8398 8.8398 8.8398 Å, 157.82 97.97 86.30°
With the nearest neighbours (Å) after each atom.
Atoms (fractional coordinates):
Y 0.1143 0.8678 0.2466  3 Tm 3.34-3.64, 1 Th 3.40, 5 Y 3.40-3.48
Y 0.3788 0.1322 0.2466  3 Tm 3.34-3.64, 1 Th 3.40, 5 Y 3.40-3.48
Y 0.6212 0.8678 0.7534  3 Tm 3.34-3.64, 1 Th 3.40, 5 Y 3.40-3.48
Y 0.8857 0.1322 0.7534  3 Tm 3.34-3.64, 1 Th 3.40, 5 Y 3.40-3.48
Tm 0.0000 0.5000 0.5000  2 Tm 3.40, 8 Y 3.74
Tm 0.2656 0.2656 0.0000  6 Y 3.34-3.64, 2 Tm 3.40, 2 Th 3.47
Tm 0.7344 0.7344 0.0000  6 Y 3.34-3.64, 2 Tm 3.40, 2 Th 3.47
Th 0.5000 0.0000 0.5000  4 Y 3.40, 2 Th 3.40, 4 Tm 3.47

Results
ΔE_f = 152 meV per atom
space-group type = Immm, No. 71
DOS(E_F) = 1.881 states/eV per atom
volume = 254 Å³/cell
total magnetization = 0.0 Bohr magnetons per cell
energy = -5.684 eV/atom

***

Material: SmDyScCd
Method: DFT, PBE
State: optimized geometry

Cell: 5.3744 5.3744 5.3744 Å, 60.00 60.00 60.00°
With the nearest neighbours (Å) after each atom.
Atoms (fractional coordinates):
Sm 0.0000 0.0000 0.0000  4 Cd 3.29, 4 Sc 3.29
Dy 0.5000 0.5000 0.5000  4 Sc 3.29, 4 Cd 3.29
Sc 0.2500 0.2500 0.2500  4 Dy 3.29, 4 Sm 3.29
Cd 0.7500 0.7500 0.7500  4 Dy 3.29, 4 Sm 3.29

Results
ΔE_f = -50 meV per atom
space-group type = F-43m, No. 216
DOS(E_F) = 1.306 states/eV per atom
volume = 110 Å³/cell
total magnetization = 0.0 Bohr magnetons per cell
energy = -4.192 eV/atom

***

Material: KGa7Ag12
Method: DFT, PBE
State: optimized geometry

Cell: 8.2611 8.2611 8.2611 Å, 111.99 111.99 111.99°
With the nearest neighbours (Å) after each atom.
Atoms (fractional coordinates):
K 0.0000 0.0000 0.0000  12 Ag 3.42-3.59, 8 Ga 3.52-3.58
Ga 0.1805 0.1805 0.5340  7 Ag 2.69-2.81, 1 Ga 2.99
Ga 0.1805 0.5340 0.1805  7 Ag 2.69-2.81, 1 Ga 2.99
Ga 0.4660 0.8195 0.8195  7 Ag 2.69-2.81, 1 Ga 2.99
Ga 0.5000 0.5000 0.5000  6 Ag 2.90, 6 Ga 3.15
Ga 0.5340 0.1805 0.1805  7 Ag 2.69-2.81, 1 Ga 2.99
Ga 0.8195 0.4660 0.8195  7 Ag 2.69-2.81, 1 Ga 2.99
Ga 0.8195 0.8195 0.4660  7 Ag 2.69-2.81, 1 Ga 2.99
Ag 0.0000 0.2624 0.7376  4 Ga 2.70-2.81, 4 Ag 2.92-2.93
Ag 0.0000 0.7376 0.2624  4 Ga 2.70-2.81, 4 Ag 2.92-2.93
Ag 0.0969 0.4223 0.4223  4 Ga 2.69-2.90, 3 Ag 2.77-2.93
Ag 0.2624 0.0000 0.7376  4 Ga 2.70-2.81, 4 Ag 2.92-2.93
Ag 0.2624 0.7376 0.0000  4 Ga 2.70-2.81, 4 Ag 2.92-2.93
Ag 0.4223 0.0969 0.4223  4 Ga 2.69-2.90, 3 Ag 2.77-2.93
Ag 0.4223 0.4223 0.0969  4 Ga 2.69-2.90, 3 Ag 2.77-2.93
Ag 0.5777 0.5777 0.9031  4 Ga 2.69-2.90, 3 Ag 2.77-2.93
Ag 0.5777 0.9031 0.5777  4 Ga 2.69-2.90, 3 Ag 2.77-2.93
Ag 0.7376 0.0000 0.2624  4 Ga 2.70-2.81, 4 Ag 2.92-2.93
Ag 0.7376 0.2624 0.0000  4 Ga 2.70-2.81, 4 Ag 2.92-2.93
Ag 0.9031 0.5777 0.5777  4 Ga 2.69-2.90, 3 Ag 2.77-2.93

Results
ΔE_f = 46 meV per atom
space-group type = R-3m, No. 166
DOS(E_F) = 0.326 states/eV per atom
volume = 388 Å³/cell
total magnetization = 0.0 Bohr magnetons per cell
energy = -2.779 eV/atom

***

Material: Mg2TiHg2
Method: DFT, PBE
State: optimized geometry

Cell: 7.9156 7.9156 3.3510 Å, 90.00 90.00 90.00°
With the nearest neighbours (Å) after each atom.
Atoms (fractional coordinates):
Mg 0.1614 0.3386 0.0000  6 Hg 2.77-2.93
Mg 0.3386 0.8386 0.0000  6 Hg 2.77-2.93
Mg 0.6614 0.1614 0.0000  6 Hg 2.77-2.93
Mg 0.8386 0.6614 0.0000  6 Hg 2.77-2.93
Ti 0.0000 0.0000 0.5000  4 Hg 3.05, 2 Ti 3.35, 8 Mg 3.41
Ti 0.5000 0.5000 0.5000  4 Hg 3.05, 2 Ti 3.35, 8 Mg 3.41
Hg 0.1413 0.6413 0.5000  6 Mg 2.77-2.93, 2 Ti 3.05
Hg 0.3587 0.1413 0.5000  6 Mg 2.77-2.93, 2 Ti 3.05
Hg 0.6413 0.8587 0.5000  6 Mg 2.77-2.93, 2 Ti 3.05
Hg 0.8587 0.3587 0.5000  6 Mg 2.77-2.93, 2 Ti 3.05

Results
ΔE_f = 17 meV per atom
space-group type = P4/mbm, No. 127
DOS(E_F) = 0.611 states/eV per atom
volume = 210 Å³/cell
total magnetization = 3.5 Bohr magnetons per cell
energy = -2.321 eV/atom

***

Material: ZrP2Au
Method: DFT, PBE
State: optimized geometry

Cell: 5.6470 5.6470 3.8126 Å, 96.55 96.55 36.59°
With the nearest neighbours (Å) after each atom.
Atoms (fractional coordinates):
Zr 0.0000 0.0000 0.0000  6 P 2.67-2.79
P 0.4448 0.4448 0.4826  1 Au 2.46, 4 Zr 2.67
P 0.7022 0.7022 0.0491  4 Au 2.58-2.64, 2 Zr 2.79
Au 0.2213 0.2213 0.5668  5 P 2.46-2.64

Results
ΔE_f = -520 meV per atom
space-group type = Cm, No. 8
DOS(E_F) = 0.473 states/eV per atom
volume = 72 Å³/cell
total magnetization = 0.0 Bohr magnetons per cell
energy = -6.181 eV/atom

***

Material: KTaAl3
Method: DFT, PBE
State: optimized geometry

Cell: 5.1980 5.1980 5.1980 Å, 90.00 90.00 90.00°
With the nearest neighbours (Å) after each atom.
Atoms (fractional coordinates):
K 0.0000 0.0000 0.0000  12 Al 3.68
Ta 0.5000 0.5000 0.5000  6 Al 2.60
Al 0.0000 0.5000 0.5000  2 Ta 2.60
Al 0.5000 0.0000 0.5000  2 Ta 2.60
Al 0.5000 0.5000 0.0000  2 Ta 2.60

Results
ΔE_f = 533 meV per atom
space-group type = Pm-3m, No. 221
DOS(E_F) = 0.915 states/eV per atom
volume = 140 Å³/cell
total magnetization = 0.0 Bohr magnetons per cell
energy = -4.302 eV/atom

***

Material: Tm12Cd3H5
Method: DFT, PBE
State: optimized geometry

Cell: 13.2475 13.2475 13.2475 Å, 109.47 109.47 109.47°
With the nearest neighbours (Å) after each atom.
Atoms (fractional coordinates):
Tm 0.0104 0.2036 0.1069  1 H 2.14
Tm 0.0104 0.3068 0.9035  1 H 2.14
Tm 0.0965 0.6069 0.4033  1 H 2.14
Tm 0.0965 0.9896 0.6932  1 H 2.14
Tm 0.0967 0.7036 0.6932  1 H 2.14
Tm 0.0967 0.8931 0.4035  1 H 2.14
Tm 0.1069 0.0104 0.2036  1 H 2.14
Tm 0.1069 0.5965 0.9033  1 H 2.14
Tm 0.1932 0.2036 0.5967  1 H 2.14
Tm 0.1932 0.4896 0.5965  1 H 2.14
Tm 0.2036 0.1069 0.0104  1 H 2.14
Tm 0.2036 0.5967 0.1932  1 H 2.14
Tm 0.2964 0.3068 0.9033  1 H 2.14
Tm 0.2964 0.4896 0.3931  1 H 2.14
Tm 0.3068 0.9033 0.2964  1 H 2.14
Tm 0.3068 0.9035 0.0104  1 H 2.14
Tm 0.3931 0.2964 0.4896  1 H 2.14
Tm 0.3931 0.5967 0.9035  1 H 2.14
Tm 0.4033 0.0965 0.6069  1 H 2.14
Tm 0.4033 0.8068 0.7964  1 H 2.14
Tm 0.4035 0.0967 0.8931  1 H 2.14
Tm 0.4035 0.8068 0.5104  1 H 2.14
Tm 0.4896 0.3931 0.2964  1 H 2.14
Tm 0.4896 0.5965 0.1932  1 H 2.14
Tm 0.5104 0.4035 0.8068  1 H 2.14
Tm 0.5104 0.6069 0.7036  1 H 2.14
Tm 0.5965 0.1932 0.4896  1 H 2.14
Tm 0.5965 0.9033 0.1069  1 H 2.14
Tm 0.5967 0.1932 0.2036  1 H 2.14
Tm 0.5967 0.9035 0.3931  1 H 2.14
Tm 0.6069 0.4033 0.0965  1 H 2.14
Tm 0.6069 0.7036 0.5104  1 H 2.14
Tm 0.6932 0.0965 0.9896  1 H 2.14
Tm 0.6932 0.0967 0.7036  1 H 2.14
Tm 0.7036 0.5104 0.6069  1 H 2.14
Tm 0.7036 0.6932 0.0967  1 H 2.14
Tm 0.7964 0.4033 0.8068  1 H 2.14
Tm 0.7964 0.8931 0.9896  1 H 2.14
Tm 0.8068 0.5104 0.4035  1 H 2.14
Tm 0.8068 0.7964 0.4033  1 H 2.14
Tm 0.8931 0.4035 0.0967  1 H 2.14
Tm 0.8931 0.9896 0.7964  1 H 2.14
Tm 0.9033 0.1069 0.5965  1 H 2.14
Tm 0.9033 0.2964 0.3068  1 H 2.14
Tm 0.9035 0.0104 0.3068  1 H 2.14
Tm 0.9035 0.3931 0.5967  1 H 2.14
Tm 0.9896 0.6932 0.0965  1 H 2.14
Tm 0.9896 0.7964 0.8931  1 H 2.14
Cd 0.1250 0.2500 0.3750  8 Tm 3.10
Cd 0.1250 0.3750 0.7500  8 Tm 3.10
Cd 0.2500 0.3750 0.1250  8 Tm 3.10
Cd 0.2500 0.8750 0.6250  8 Tm 3.10
Cd 0.3750 0.1250 0.2500  8 Tm 3.10
Cd 0.3750 0.7500 0.1250  8 Tm 3.10
Cd 0.6250 0.2500 0.8750  8 Tm 3.10
Cd 0.6250 0.8750 0.7500  8 Tm 3.10
Cd 0.7500 0.1250 0.3750  8 Tm 3.10
Cd 0.7500 0.6250 0.8750  8 Tm 3.10
Cd 0.8750 0.6250 0.2500  8 Tm 3.10
Cd 0.8750 0.7500 0.6250  8 Tm 3.10
H 0.0000 0.0000 0.0000  6 Tm 2.52
H 0.0000 0.0000 0.5000  6 Tm 2.52
H 0.0000 0.5000 0.0000  6 Tm 2.52
H 0.0000 0.5000 0.5000  6 Tm 2.52
H 0.1250 0.7500 0.8750  4 Tm 2.14
H 0.1250 0.8750 0.2500  4 Tm 2.14
H 0.2500 0.1250 0.8750  4 Tm 2.14
H 0.2500 0.6250 0.3750  4 Tm 2.14
H 0.3750 0.2500 0.6250  4 Tm 2.14
H 0.3750 0.6250 0.7500  4 Tm 2.14
H 0.5000 0.0000 0.0000  6 Tm 2.52
H 0.5000 0.0000 0.5000  6 Tm 2.52
H 0.5000 0.5000 0.0000  6 Tm 2.52
H 0.5000 0.5000 0.5000  6 Tm 2.52
H 0.6250 0.3750 0.2500  4 Tm 2.14
H 0.6250 0.7500 0.3750  4 Tm 2.14
H 0.7500 0.3750 0.6250  4 Tm 2.14
H 0.7500 0.8750 0.1250  4 Tm 2.14
H 0.8750 0.1250 0.7500  4 Tm 2.14
H 0.8750 0.2500 0.1250  4 Tm 2.14

Results
space-group type = Ia-3d, No. 230
DOS(E_F) = 0.815 states/eV per atom
volume = 1790 Å³/cell
total magnetization = 0.0 Bohr magnetons per cell
energy = -3.846 eV/atom

***

Material: TaVS
Method: DFT, PBE
State: optimized geometry

Cell: 8.4867 8.4867 4.2215 Å, 90.00 90.00 157.72°
With the nearest neighbours (Å) after each atom.
Atoms (fractional coordinates):
Ta 0.0707 0.9293 0.7500  2 S 2.62, 6 V 2.68-2.77
Ta 0.9293 0.0707 0.2500  2 S 2.62, 6 V 2.68-2.77
V 0.4365 0.5635 0.7500  2 S 2.34
V 0.5635 0.4365 0.2500  2 S 2.34
S 0.1638 0.8362 0.2500  2 V 2.34, 2 Ta 2.62
S 0.8362 0.1638 0.7500  2 V 2.34, 2 Ta 2.62

Results
space-group type = Cmcm, No. 63
DOS(E_F) = 0.837 states/eV per atom
volume = 115 Å³/cell
energy relative to the elements, uncorrected = -0.4328 eV per atom
total magnetization = 0.0 Bohr magnetons per cell
energy = -8.799 eV/atom

***

Material: TcOs2W
Method: DFT, PBE
State: optimized geometry

Cell: 4.7779 4.7779 4.7779 Å, 131.79 131.79 70.56°
With the nearest neighbours (Å) after each atom.
Atoms (fractional coordinates):
Tc 0.0000 0.0000 0.0000  8 Os 2.76, 4 W 2.76
Os 0.2500 0.7500 0.5000  4 W 2.76, 4 Tc 2.76, 4 Os 2.76
Os 0.7500 0.2500 0.5000  4 W 2.76, 4 Tc 2.76, 4 Os 2.76
W 0.5000 0.5000 0.0000  8 Os 2.76, 4 Tc 2.76

Results
ΔE_f = 35 meV per atom
space-group type = I4/mmm, No. 139
DOS(E_F) = 1.155 states/eV per atom
volume = 59 Å³/cell
total magnetization = 0.0 Bohr magnetons per cell
energy = -11.409 eV/atom

***

Material: KLaTe2O
Method: DFT, PBE
State: optimized geometry

Cell: 5.8760 5.8760 4.4903 Å, 90.00 90.00 90.00°
With the nearest neighbours (Å) after each atom.
Atoms (fractional coordinates):
K 0.0000 0.0000 0.0000  2 O 2.25
La 0.5000 0.5000 0.5000  8 Te 3.70
Te 0.0000 0.5000 0.0000  2 K 2.94
Te 0.5000 0.0000 0.0000  2 K 2.94
O 0.0000 0.0000 0.5000  2 K 2.25

Results
space-group type = P4/mmm, No. 123
DOS(E_F) = 1.347 states/eV per atom
volume = 155 Å³/cell
energy relative to the elements, uncorrected = -0.1999 eV per atom
total magnetization = 0.9 Bohr magnetons per cell
energy = -3.653 eV/atom

***

Material: PrErPa2P4
Method: DFT, PBE
State: optimized geometry

Cell: 6.9659 4.0195 6.9659 Å, 90.00 109.45 90.00°
With the nearest neighbours (Å) after each atom.
Atoms (fractional coordinates):
Pr 0.0000 0.0000 0.0000  6 P 2.91
Er 0.0000 0.5000 0.5000  6 P 2.86
Pa 0.5000 0.0000 0.5000  6 P 2.78
Pa 0.5000 0.5000 0.0000  6 P 2.83
P 0.2577 0.0000 0.7462  3 Pa 2.78-2.83, 2 Er 2.86, 1 Pr 2.91
P 0.2629 0.5000 0.2609  3 Pa 2.78-2.83, 1 Er 2.86, 2 Pr 2.91
P 0.7371 0.5000 0.7391  3 Pa 2.78-2.83, 1 Er 2.86, 2 Pr 2.91
P 0.7423 0.0000 0.2538  3 Pa 2.78-2.83, 2 Er 2.86, 1 Pr 2.91

Results
ΔE_f = -1421 meV per atom
space-group type = P2/m, No. 10
DOS(E_F) = 0.827 states/eV per atom
volume = 184 Å³/cell
total magnetization = 0.0 Bohr magnetons per cell
energy = -7.668 eV/atom

***

Material: Zn2CuGe
Method: DFT, PBE
State: optimized geometry

Cell: 4.9661 4.9661 4.9661 Å, 49.63 49.63 49.63°
With the nearest neighbours (Å) after each atom.
Atoms (fractional coordinates):
Zn 0.0000 0.0000 0.0000  3 Cu 2.50, 3 Ge 2.68, 1 Zn 2.72
Zn 0.2090 0.2090 0.2090  3 Cu 2.59, 1 Zn 2.72, 4 Ge 2.79-2.86
Cu 0.6156 0.6156 0.6156  6 Zn 2.50-2.59, 1 Ge 2.51
Ge 0.4233 0.4233 0.4233  1 Cu 2.51, 4 Zn 2.68-2.79

Results
ΔE_f = 103 meV per atom
space-group type = R3m, No. 160
DOS(E_F) = 0.289 states/eV per atom
volume = 65 Å³/cell
total magnetization = 0.0 Bohr magnetons per cell
energy = -2.712 eV/atom

***

Material: LaHgN3
Method: DFT, PBE
State: optimized geometry

Cell: 4.4147 4.4147 4.4147 Å, 90.00 90.00 90.00°
With the nearest neighbours (Å) after each atom.
Atoms (fractional coordinates):
La 0.0000 0.0000 0.0000  6 N 2.21
Hg 0.5000 0.5000 0.5000  12 N 3.12
N 0.0000 0.0000 0.5000  2 La 2.21
N 0.0000 0.5000 0.0000  2 La 2.21
N 0.5000 0.0000 0.0000  2 La 2.21

Results
space-group type = Pm-3m, No. 221
DOS(E_F) = 0.739 states/eV per atom
volume = 86 Å³/cell
energy relative to the elements, uncorrected = 1.5514 eV per atom
total magnetization = 1.8 Bohr magnetons per cell
energy = -4.490 eV/atom